TlMoPdO4 | PBE with a Hubbard U | relaxed

Computed properties:
* calculated total energy: -81.932 eV/cell
* symmetry: Imma (74)
* Fermi-level density of states: 2.92 states/eV/cell
* magnetic moment: 1.98 μB/cell
* crystal system: orthorhombic

The structure in POSCAR format:
```
TlMoPdO4
1.0
6.148 0.000 0.000
-3.074 6.549 0.466
0.000 -3.122 5.134
O Pd Tl Mo
8 2 2 2
direct
0.764 0.529 0.725
0.375 0.150 0.325
0.236 0.471 0.697
0.236 0.471 0.275
0.225 0.850 0.675
0.775 0.150 0.325
0.625 0.850 0.675
0.764 0.529 0.303
0.500 0.000 0.500
0.500 0.000 0.000
0.921 0.842 0.171
0.079 0.158 0.829
0.000 0.500 0.500
0.500 0.500 0.500
```